Entry from Alexandria via LeMat-Bulk: a relaxed Li4FeW3O12 crystal (GGA+U).

Theoretical density in kg/m3: 6007
Volume in Å³/atom: 11.4
Energy relative to the lowest polymorph listed for this composition in eV/atom: 0.004

```
20
Lattice="5.040 -0.003 0.000 -0.062 5.118 0.000 0.000 0.000 8.864" Properties=species:S:1:pos:R:3 pbc="T T T"
W 2.489 2.557 3.530
W 0.000 0.000 8.280
W 2.520 -0.002 5.447
Li 2.520 -0.002 1.709
Li -0.031 2.559 6.295
Li 2.489 2.557 7.432
Li 0.000 0.000 2.988
O 1.495 1.612 5.143
O 3.912 0.801 0.664
O 3.535 0.933 3.850
O 4.032 3.516 7.983
O 3.483 3.503 5.143
O 3.670 3.361 2.361
O 1.239 4.373 6.657
O 0.946 1.599 7.983
O 1.308 1.754 2.361
O 3.739 0.742 6.657
O 1.443 4.182 3.850
O 1.066 4.313 0.664
Fe -0.031 2.559 0.898
```